This record from Alexandria via LeMat-Bulk describes an optimized crystal structure of Pr3InCu8. The functional is GGA-PBE.

Summary:
Energy of formation (eV/atom): -0.127
Total energy (eV/atom): -4.28

Geometry as CIF:
```
data_Pr3InCu8
_cell_length_a 5.3062
_cell_length_b 5.3062
_cell_length_c 26.1219
_cell_angle_alpha 90.00
_cell_angle_beta 90.00
_cell_angle_gamma 120.00
_symmetry_space_group_name_H-M 'R 3 m'
_symmetry_Int_Tables_number 160
_symmetry_space_group_name_Hall 'R 3 -2"'
loop_
_atom_site_label
_atom_site_fract_x
_atom_site_fract_y
_atom_site_fract_z
Pr1 0.0000 0.0000 0.0000
Pr2 0.0000 0.0000 0.1242
Pr3 0.0000 0.0000 0.5050
In1 0.0000 0.0000 0.6288
Cu1 0.0000 0.0000 0.3127
Cu2 0.0000 0.0000 0.8133
Cu3 0.1684 0.3368 0.3961
Cu4 0.1694 0.3387 0.8982
```